No. 1
## BeAl2Sb (SCAN)

Data for BeAl2Sb at its PBEsol-relaxed geometry.

Results
Its raw formation energy is 0.36 eV per atom. The density of states at the Fermi level comes out at 2.40 states/eV per cell. The offset from the most stable computed form comes out at 5 meV per atom.

abc: 3.826 3.826 9.514
angles: 90.00 90.00 90.00
Space group I4/mmm (No. 139)
Asymmetric unit:
1 Be 0.000 0.000 0.000
2 Al 0.000 0.500 0.250
3 Sb 0.000 0.000 0.500



No. 2
## Rb2TlRuPb (SCAN)

Data for Rb2TlRuPb at its PBEsol-relaxed geometry.

Results
The density of states at the Fermi level comes out at 4.13 states/eV per cell. The value obtained for the formation energy is 0.68 eV per atom.

abc: 6.726 6.726 5.069
angles: 90.00 90.00 90.00
Space group P4/mmm (No. 123)
Asymmetric unit:
1 Rb 0.000 0.500 0.000
2 Tl 0.000 0.000 0.500
3 Ru 0.500 0.500 0.500
4 Pb 0.500 0.500 0.000